{"formula": "Pm2HoTm", "functional": "PBE", "state": "relaxed", "lattice": [[1.791, 1.034, 11.589], [-1.791, 1.034, 11.589], [0.000, -2.068, 11.589]], "species": ["Pm", "Pm", "Ho", "Tm"], "fractional_positions": [[0.250, 0.250, 0.250], [0.750, 0.750, 0.750], [0.500, 0.500, 0.500], [0.000, 0.000, 0.000]], "delta_e_f_mev_per_atom": 15, "polymorph_energy_mev_per_atom": 0, "vol_a3_per_cell": 129, "dft_energy_ev_per_fu": -18.5, "magmom_total_mub_per_fu": 0.0, "crystal_system": "trigonal"}

=====

{"formula": "Mn2IrRu", "functional": "PBE", "state": "relaxed", "lattice": [[2.998, 0.000, 0.000], [0.000, 2.998, 0.000], [0.000, 0.000, 5.924]], "species": ["Mn", "Mn", "Ir", "Ru"], "fractional_positions": [[0.000, 0.000, 0.000], [0.500, 0.500, 0.184], [0.500, 0.500, 0.735], [0.000, 0.000, 0.442]], "delta_e_f_mev_per_atom": 83, "vol_a3_per_cell": 53, "dft_energy_ev_per_fu": -36.1, "magmom_total_mub_per_fu": 0.1, "crystal_system": "tetragonal"}

=====

{"formula": "NaCoPd2N", "functional": "PBE", "state": "relaxed", "lattice": [[4.399, 0.000, 0.000], [0.000, 4.399, 0.000], [0.000, 0.000, 3.555]], "species": ["Na", "Co", "Pd", "Pd", "N"], "fractional_positions": [[0.000, 0.000, 0.000], [0.500, 0.500, 0.000], [0.000, 0.500, 0.500], [0.500, 0.000, 0.500], [0.500, 0.500, 0.500]], "vol_a3_per_cell": 69, "e_form_raw_ev_per_atom": 0.08, "dft_energy_ev_per_fu": -26.7, "magmom_total_mub_per_fu": 0.3, "crystal_system": "tetragonal"}

=====

{"formula": "Ce2GePt3", "functional": "PBE", "state": "relaxed", "lattice": [[3.568, 0.000, 0.000], [0.000, 4.424, 0.000], [0.000, 0.000, 7.949]], "species": ["Ce", "Ce", "Ge", "Pt", "Pt", "Pt"], "fractional_positions": [[0.000, 0.000, 0.000], [0.000, 0.500, 0.476], [0.500, 0.500, 0.812], [0.500, 0.000, 0.333], [0.500, 0.000, 0.673], [0.500, 0.500, 0.129]], "delta_e_f_mev_per_atom": -1029, "vol_a3_per_cell": 125, "dft_energy_ev_per_fu": -40.8, "magmom_total_mub_per_fu": 0.4, "crystal_system": "orthorhombic"}

=====

{"formula": "CaTbCdIn", "functional": "PBE", "state": "relaxed", "lattice": [[0.000, 3.794, 3.794], [3.794, 0.000, 3.794], [3.794, 3.794, 0.000]], "species": ["Ca", "Tb", "Cd", "In"], "fractional_positions": [[0.000, 0.000, 0.000], [0.500, 0.500, 0.500], [0.250, 0.250, 0.250], [0.750, 0.750, 0.750]], "delta_e_f_mev_per_atom": -428, "vol_a3_per_cell": 109, "dft_energy_ev_per_fu": -12.0, "magmom_total_mub_per_fu": 0.0, "crystal_system": "cubic"}

=====

{"formula": "PmLuNi", "functional": "PBE", "state": "relaxed", "lattice": [[-1.703, 1.703, 6.199], [1.703, -1.703, 6.199], [1.703, 1.703, -6.199]], "species": ["Pm", "Lu", "Ni"], "fractional_positions": [[0.000, 0.000, 0.000], [0.265, 0.265, 0.000], [0.647, 0.647, 0.000]], "delta_e_f_mev_per_atom": -231, "polymorph_energy_mev_per_atom": 0, "vol_a3_per_cell": 72, "dft_energy_ev_per_fu": -15.7, "magmom_total_mub_per_fu": 0.0, "crystal_system": "tetragonal"}

=====

{"formula": "LaTaAs2", "functional": "PBE", "state": "relaxed", "lattice": [[-3.151, 3.151, 6.174], [3.151, -3.151, 6.174], [3.151, 3.151, -6.174]], "species": ["La", "La", "Ta", "Ta", "As", "As", "As", "As"], "fractional_positions": [[0.000, 0.000, 0.000], [0.750, 0.250, 0.500], [0.250, 0.750, 0.500], [0.500, 0.500, 0.000], [0.188, 0.625, 0.063], [0.375, 0.438, 0.563], [0.562, 0.125, 0.937], [0.875, 0.812, 0.437]], "delta_e_f_mev_per_atom": -301, "polymorph_energy_mev_per_atom": 555, "vol_a3_per_cell": 245, "dft_energy_ev_per_fu": -27.3, "magmom_total_mub_per_fu": 0.0, "crystal_system": "tetragonal"}

=====

{"formula": "Ce2Pm2Ir", "functional": "PBE", "state": "relaxed", "lattice": [[3.630, -6.123, 0.000], [3.630, 6.123, 0.000], [-2.839, 0.000, 6.499]], "species": ["Ce", "Ce", "Ce", "Ce", "Pm", "Pm", "Pm", "Pm", "Ir", "Ir"], "fractional_positions": [[0.222, 0.222, 0.412], [0.227, 0.227, 0.817], [0.773, 0.773, 0.183], [0.778, 0.778, 0.588], [0.229, 0.659, 0.241], [0.341, 0.771, 0.759], [0.659, 0.229, 0.241], [0.771, 0.341, 0.759], [0.119, 0.881, 0.000], [0.881, 0.119, 0.000]], "delta_e_f_mev_per_atom": -225, "vol_a3_per_cell": 289, "dft_energy_ev_per_fu": -31.4, "magmom_total_mub_per_fu": 1.4, "crystal_system": "monoclinic"}